No. 1
{
  "formula": "CoBiPd2",
  "functional": "GGA-PBE",
  "state": "relaxed",
  "crystal_system": "tetragonal",
  "e_form_mev_per_atom": 243,
  "lattice_angstrom": [[-1.954, 1.954, 9.437], [1.954, -1.954, 9.437], [1.954, 1.954, -9.437]],
  "species": ["Co", "Co", "Bi", "Bi", "Pd", "Pd", "Pd", "Pd"],
  "fractional_positions": [[0.000, 0.000, 0.000], [0.750, 0.250, 0.500], [0.250, 0.750, 0.500], [0.500, 0.500, 0.000], [0.109, 0.625, 0.984], [0.375, 0.359, 0.484], [0.641, 0.125, 0.016], [0.875, 0.891, 0.516]]
}

No. 2
{
  "formula": "CoBi3Pd",
  "functional": "GGA-PBE",
  "state": "relaxed",
  "crystal_system": "cubic",
  "e_form_mev_per_atom": 410,
  "lattice_angstrom": [[5.041, 0.000, 0.000], [0.000, 5.041, 0.000], [0.000, 0.000, 5.041]],
  "species": ["Co", "Bi", "Bi", "Bi", "Pd"],
  "fractional_positions": [[0.000, 0.000, 0.000], [0.000, 0.000, 0.500], [0.000, 0.500, 0.000], [0.500, 0.000, 0.000], [0.500, 0.500, 0.500]]
}

No. 3
{
  "formula": "RbCo2BiPd",
  "functional": "GGA-PBE",
  "state": "relaxed",
  "crystal_system": "tetragonal",
  "e_form_mev_per_atom": 846,
  "lattice_angstrom": [[5.033, 0.000, 0.000], [0.000, 5.033, 0.000], [0.000, 0.000, 5.232]],
  "species": ["Rb", "Co", "Co", "Bi", "Pd"],
  "fractional_positions": [[0.000, 0.000, 0.000], [0.000, 0.500, 0.500], [0.500, 0.000, 0.500], [0.500, 0.500, 0.000], [0.500, 0.500, 0.500]]
}

No. 4
{
  "formula": "CoSiBiPd2",
  "functional": "GGA-PBE",
  "state": "relaxed",
  "crystal_system": "tetragonal",
  "total_energy_ev_per_cell": -23.6,
  "lattice_angstrom": [[4.501, 0.000, 0.000], [0.000, 4.501, 0.000], [0.000, 0.000, 5.352]],
  "species": ["Co", "Si", "Bi", "Pd", "Pd"],
  "fractional_positions": [[0.000, 0.000, 0.000], [0.500, 0.500, 0.500], [0.500, 0.500, 0.000], [0.000, 0.500, 0.500], [0.500, 0.000, 0.500]]
}

No. 5
{
  "formula": "SrCoBi2Pd",
  "functional": "GGA-PBE",
  "state": "relaxed",
  "crystal_system": "tetragonal",
  "e_form_mev_per_atom": 454,
  "lattice_angstrom": [[5.358, 0.000, 0.000], [0.000, 5.358, 0.000], [0.000, 0.000, 5.537]],
  "species": ["Sr", "Co", "Bi", "Bi", "Pd"],
  "fractional_positions": [[0.000, 0.000, 0.000], [0.500, 0.500, 0.000], [0.000, 0.500, 0.500], [0.500, 0.000, 0.500], [0.000, 0.000, 0.500]]
}

No. 6
{
  "formula": "Pm6CoBi3",
  "functional": "GGA-PBE",
  "state": "relaxed",
  "crystal_system": "orthorhombic",
  "e_form_mev_per_atom": -369,
  "lattice_angstrom": [[5.931, -7.415, 0.000], [5.931, 7.415, 0.000], [0.000, 0.000, 7.670]],
  "species": ["Pm", "Pm", "Pm", "Pm", "Pm", "Pm", "Pm", "Pm", "Pm", "Pm", "Pm", "Pm", "Co", "Co", "Bi", "Bi", "Bi", "Bi", "Bi", "Bi"],
  "fractional_positions": [[0.003, 0.997, 0.500], [0.094, 0.607, 0.406], [0.241, 0.759, 0.953], [0.302, 0.371, 0.926], [0.371, 0.302, 0.426], [0.393, 0.906, 0.406], [0.607, 0.094, 0.906], [0.629, 0.698, 0.926], [0.698, 0.629, 0.426], [0.759, 0.241, 0.453], [0.906, 0.393, 0.906], [0.997, 0.003, 0.000], [0.137, 0.863, 0.243], [0.863, 0.137, 0.743], [0.071, 0.295, 0.238], [0.295, 0.071, 0.738], [0.389, 0.611, 0.622], [0.611, 0.389, 0.122], [0.705, 0.929, 0.238], [0.929, 0.705, 0.738]]
}

Number 1: calculated volume 18.02 Å³/atom. Number 2: calculated volume 25.62 Å³/atom. Number 3: calculated volume 26.51 Å³/atom. Number 4: calculated volume 21.68 Å³/atom. Number 5: calculated volume 31.79 Å³/atom. Number 6: calculated volume 33.73 Å³/atom.